First-principles (PBE-GGA) data for an optimized crystal structure of BaGePd2W, as listed in the Alexandria database.

Cell: 5.033 5.033 4.941 Å, 90.00 90.00 90.00°
Space group P4/mmm (No. 123)
Unique sites:
Ba: 0.000 0.000 0.000 (multiplicity 1)
Ge: 0.500 0.500 0.000 (multiplicity 1)
Pd: 0.000 0.500 0.500 (multiplicity 2)
W: 0.500 0.500 0.500 (multiplicity 1)

Magnetization = 0.0 Bohr magnetons per cell
Electronic total energy = -5.76 eV/atom
D(E_F) = 0.9026 states/eV per atom

---

First-principles (PBE-GGA) data for an optimized crystal structure of Al2WCl, as listed in the Alexandria database.

Cell: 6.441 6.441 6.441 Å, 90.00 90.00 90.00°
Space group F-43m (No. 216)
Unique sites:
Al: 0.000 0.000 0.000 (multiplicity 4)
Al: 0.250 0.250 0.250 (multiplicity 4)
W: 0.250 0.250 0.750 (multiplicity 4)
Cl: 0.000 0.000 0.500 (multiplicity 4)

Magnetization = 5.3 Bohr magnetons per cell
Distance to the lowest polymorph of the same formula = 0.911 eV/atom
Electronic total energy = -4.79 eV/atom
Energy relative to the elements, uncorrected = 301 kJ/mol of formula units
D(E_F) = 1.1967 states/eV per atom